(1)
Below is a geometry-optimized Y2TmV structure, with properties calculated at the GGA-PBE level.

a b c (Å): 3.372 3.372 11.578
angles (deg): 81.63 81.63 60.00
Site moments in Bohr magnetons follow the coordinates.
Fractional positions:
Y 0.082 0.082 0.753  0.01
Y 0.918 0.918 0.247  0.01
Tm 0.500 0.500 0.500  -0.02
V 0.000 0.000 0.000  2.60

(2)
Below is a geometry-optimized YTmV structure, with properties calculated at the GGA-PBE level.

a b c (Å): 5.240 6.073 6.559
angles (deg): 122.67 90.00 115.56
Site moments in Bohr magnetons follow the coordinates.
Fractional positions:
V 0.661 0.323 0.788  1.94
V 0.258 0.517 0.882  1.97
Tm 0.960 0.920 0.334  -0.04
Tm 0.598 0.195 0.225  -0.01
Y 0.960 0.919 0.835  -0.04
Y 0.320 0.639 0.442  -0.02

Number 1: DFT total energy -24.05 eV/f.u., formation energy from the elements 0.617 eV per atom, theoretical density 5.88 Mg/m³. Number 2: DFT total energy -18.92 eV/f.u., formation energy from the elements 0.379 eV per atom, theoretical density 6.80 Mg/m³.